Run i
First-principles (GGA-PBE) data for an optimized crystal structure of La2Ni2Bi, as listed in Alexandria via LeMat-Bulk.

Results
- Mass density: 8093 kg/m³
- SG: I4/mmm (139)

```
La2Ni2Bi
1.0
-2.365 0.644 -4.959
-5.000 -0.442 2.326
-3.774 4.111 -0.752
Bi La Ni
1 2 2
direct
0.000 0.000 0.000 Bi
0.750 0.250 0.500 La
0.250 0.750 0.500 La
0.643 0.643 0.715 Ni
0.357 0.357 0.285 Ni
```

---

Run ii
First-principles (GGA-PBE) data for an optimized crystal structure of La2Ni2Bi, as listed in Alexandria via LeMat-Bulk.

Results
- Mass density: 8542 kg/m³
- SG: P4/mbm (127)

```
La2Ni2Bi
1.0
7.606 0.000 0.000
0.000 7.606 0.000
0.000 0.000 4.060
Ni La Bi
4 4 2
direct
0.113 0.387 0.000 Ni
0.613 0.113 0.000 Ni
0.887 0.613 0.000 Ni
0.387 0.887 0.000 Ni
0.180 0.680 0.500 La
0.680 0.820 0.500 La
0.820 0.320 0.500 La
0.320 0.180 0.500 La
0.000 0.000 0.000 Bi
0.500 0.500 0.000 Bi
```

---

Run iii
First-principles (GGA-PBE) data for an optimized crystal structure of La2Ni2Bi, as listed in Alexandria via LeMat-Bulk.

Results
- Mass density: 8133 kg/m³
- SG: I4/mmm (139)

```
La2Ni2Bi
1.0
3.715 0.000 0.000
0.000 3.715 0.000
1.858 1.858 8.938
Bi Ni La
1 2 2
direct
0.000 0.000 0.000 Bi
0.250 0.750 0.500 Ni
0.750 0.250 0.500 Ni
0.631 0.631 0.737 La
0.369 0.369 0.263 La
```

---

It is run ii that is most stable; the runner-up trails by 12.6 kJ/mol of atoms.

---

Run i
First-principles (GGA-PBE) data for an optimized crystal structure of La2Bi2O, as listed in Alexandria via LeMat-Bulk.

Results
- Mass density: 8591 kg/m³
- SG: P4/mbm (127)

```
La2Bi2O
1.0
6.853 0.000 0.000
0.000 6.853 0.000
0.000 0.000 5.860
Bi La O
4 4 2
direct
0.165 0.665 0.500 Bi
0.835 0.335 0.500 Bi
0.335 0.165 0.500 Bi
0.665 0.835 0.500 Bi
0.183 0.317 0.000 La
0.683 0.183 0.000 La
0.317 0.817 0.000 La
0.817 0.683 0.000 La
0.500 0.500 0.000 O
0.000 0.000 0.000 O
```

---

Run ii
First-principles (GGA-PBE) data for an optimized crystal structure of La2Bi2O, as listed in Alexandria via LeMat-Bulk.

Results
- Mass density: 7680 kg/m³
- SG: Cmc2_1 (36)

```
La2Bi2O
1.0
-1.810 -3.635 1.477
6.381 -1.049 5.238
-3.258 6.318 5.234
La Bi O
4 4 2
direct
0.851 0.045 0.703 La
0.149 0.545 0.297 La
0.454 0.366 0.909 La
0.546 0.866 0.091 La
0.800 0.439 0.601 Bi
0.068 0.178 0.136 Bi
0.932 0.678 0.864 Bi
0.200 0.939 0.399 Bi
0.400 0.106 0.800 O
0.600 0.606 0.200 O
```

---

It is run ii that is most stable; the runner-up trails by 20.3 kJ/mol of atoms.

---

Run i
First-principles (GGA-PBE) data for an optimized crystal structure of LaBiP2O, as listed in Alexandria via LeMat-Bulk.

Results
- Mass density: 6079 kg/m³
- SG: P4/mmm (123)

```
LaBiP2O
1.0
5.193 0.000 0.000
0.000 5.193 0.000
0.000 0.000 4.313
P Bi O La
2 1 1 1
direct
0.500 0.000 0.000 P
0.000 0.500 0.000 P
0.000 0.000 0.000 Bi
0.000 0.000 0.500 O
0.500 0.500 0.500 La
```

---

Run ii
First-principles (GGA-PBE) data for an optimized crystal structure of LaBiP2O, as listed in Alexandria via LeMat-Bulk.

Results
- Mass density: 5228 kg/m³
- SG: P4/mmm (123)

```
LaBiP2O
1.0
-0.019 -4.892 -2.880
3.820 2.119 -3.625
3.104 -1.442 2.429
La O P Bi
1 1 2 1
direct
0.000 0.000 0.000 La
0.000 0.000 0.500 O
0.500 0.000 0.000 P
0.000 0.500 0.000 P
0.500 0.500 0.500 Bi
```

---

It is run i that is most stable; the runner-up trails by 18.9 kJ/mol of atoms.

---

Run i
First-principles (GGA-PBE) data for an optimized crystal structure of LaBiPO2, as listed in Alexandria via LeMat-Bulk.

Results
- Mass density: 5810 kg/m³
- SG: P4/mmm (123)

```
LaBiPO2
1.0
4.313 0.000 0.000
0.000 4.313 0.000
0.000 0.000 6.311
La P O Bi
1 1 2 1
direct
0.000 0.000 0.000 La
0.000 0.000 0.500 P
0.500 0.000 0.000 O
0.000 0.500 0.000 O
0.500 0.500 0.500 Bi
```

---

Run ii
First-principles (GGA-PBE) data for an optimized crystal structure of LaBiPO2, as listed in Alexandria via LeMat-Bulk.

Results
- Mass density: 6755 kg/m³
- SG: P4/mmm (123)

```
LaBiPO2
1.0
-3.323 1.570 2.431
-2.825 -2.562 -2.207
0.741 -3.805 3.469
O La Bi P
2 1 1 1
direct
0.000 0.500 0.000 O
0.500 0.000 0.000 O
0.500 0.500 0.500 La
0.000 0.000 0.000 Bi
0.000 0.000 0.500 P
```

---

It is run ii that is most stable; the runner-up trails by 12.7 kJ/mol of atoms.

---

Run i
First-principles (GGA-PBE) data for an optimized crystal structure of LaBiS2O, as listed in Alexandria via LeMat-Bulk.

Results
- Mass density: 6085 kg/m³
- SG: P4/nmm (129)

```
LaBiS2O
1.0
4.050 0.000 0.000
0.000 4.050 0.000
0.000 0.000 14.244
S O Bi La
4 2 2 2
direct
0.000 0.500 0.106 S
0.000 0.500 0.691 S
0.500 0.000 0.894 S
0.500 0.000 0.309 S
0.500 0.500 0.500 O
0.000 0.000 0.500 O
0.000 0.500 0.868 Bi
0.500 0.000 0.132 Bi
0.500 0.000 0.588 La
0.000 0.500 0.412 La
```

---

Run ii
First-principles (GGA-PBE) data for an optimized crystal structure of LaBiS2O, as listed in Alexandria via LeMat-Bulk.

Results
- Mass density: 6059 kg/m³
- SG: P4/nmm (129)

```
LaBiS2O
1.0
-2.035 2.031 -2.830
-0.407 -3.393 -2.144
-12.361 -2.845 6.848
Bi S O La
2 4 2 2
direct
0.500 0.000 0.586 Bi
0.000 0.500 0.414 Bi
0.000 0.500 0.089 S
0.500 0.000 0.313 S
0.500 0.000 0.911 S
0.000 0.500 0.687 S
0.000 0.000 0.500 O
0.500 0.500 0.500 O
0.500 0.000 0.131 La
0.000 0.500 0.869 La
```

---

It is run i that is most stable; the runner-up trails by 26.8 kJ/mol of atoms.

---

Run i
First-principles (GGA-PBE) data for an optimized crystal structure of LaBiTe2O, as listed in Alexandria via LeMat-Bulk.

Results
- Mass density: 4356 kg/m³
- SG: P4/mmm (123)

```
LaBiTe2O
1.0
-0.893 -3.405 -4.906
4.419 -3.713 1.773
-4.306 -3.567 3.260
Te O Bi La
2 1 1 1
direct
0.000 0.500 0.000 Te
0.500 0.000 0.000 Te
0.500 0.500 0.500 O
0.000 0.000 0.500 Bi
0.000 0.000 0.000 La
```

---

Run ii
First-principles (GGA-PBE) data for an optimized crystal structure of LaBiTe2O, as listed in Alexandria via LeMat-Bulk.

Results
- Mass density: 6875 kg/m³
- SG: P4/nmm (129)

```
LaBiTe2O
1.0
-2.498 -3.334 -1.063
2.994 -1.361 -2.769
6.812 -8.839 11.712
La Bi Te O
2 2 4 2
direct
0.000 0.500 0.429 La
0.500 0.000 0.571 La
0.000 0.500 0.860 Bi
0.500 0.000 0.140 Bi
0.500 0.000 0.318 Te
0.000 0.500 0.091 Te
0.000 0.500 0.682 Te
0.500 0.000 0.909 Te
0.000 0.000 0.500 O
0.500 0.500 0.500 O
```

---

It is run ii that is most stable; the runner-up trails by 218.3 kJ/mol of atoms.